First-principles (PBE) data for KReSi3 after structural relaxation, as listed in the Alexandria database.

abc: 4.7721 4.7721 4.7721
angles: 90.00 90.00 90.00
With the nearest neighbours (Å) after each atom.
Element x y z (fractional)
1 K 0.0000 0.0000 0.0000  12 Si 3.37
2 Re 0.5000 0.5000 0.5000  6 Si 2.39
3 Si 0.0000 0.5000 0.5000  2 Re 2.39
4 Si 0.5000 0.0000 0.5000  2 Re 2.39
5 Si 0.5000 0.5000 0.0000  2 Re 2.39

Properties
Uncorrected formation energy   0.285 eV per atom
Electronic total energy   -28.4 eV/cell
Energy above the lowest structure with this stoichiometry   0 meV/atom